1.
{"formula": "HoTh3N", "functional": "GGA-PBE", "state": "optimized geometry", "dft_energy_ev_per_cell": -38.23, "raw_formation_energy_ev_per_fu": -3.1, "sg": "No. 221", "lattice_angstrom": [[5.0789, 0.0000, 0.0000], [0.0000, 5.0789, 0.0000], [0.0000, 0.0000, 5.0789]], "species": ["Ho", "Th", "Th", "Th", "N"], "frac_coords": [[0.0000, 0.0000, 0.0000], [0.0000, 0.5000, 0.5000], [0.5000, 0.0000, 0.5000], [0.5000, 0.5000, 0.0000], [0.5000, 0.5000, 0.5000]]}

***

2.
{"formula": "La2Tb7Nd2", "functional": "GGA-PBE", "state": "optimized geometry", "dft_energy_ev_per_cell": -50.12, "polymorph_energy_mev_per_atom": 3, "formation_enthalpy_0k_kj_per_mol_fu": 162, "sg": "No. 12", "lattice_angstrom": [[5.7058, -5.8569, 0.0000], [5.7058, 5.8569, 0.0000], [-2.4462, 0.0000, 5.6292]], "species": ["La", "La", "Tb", "Tb", "Tb", "Tb", "Tb", "Tb", "Tb", "Nd", "Nd"], "frac_coords": [[0.2162, 0.7838, 0.0000], [0.7838, 0.2162, 0.0000], [0.0000, 0.0000, 0.5000], [0.0644, 0.5922, 0.3340], [0.4055, 0.4055, 0.6902], [0.4078, 0.9356, 0.6660], [0.5922, 0.0644, 0.3340], [0.5945, 0.5945, 0.3098], [0.9356, 0.4078, 0.6660], [0.2379, 0.2379, 0.0864], [0.7621, 0.7621, 0.9136]]}

***

3.
{"formula": "Dy4MgAgRu2", "functional": "GGA-PBE", "state": "optimized geometry", "dft_energy_ev_per_cell": -43.66, "formation_enthalpy_0k_kj_per_mol_fu": -218, "sg": "No. 166", "lattice_angstrom": [[2.4884, 1.4367, 8.1764], [-2.4884, 1.4367, 8.1764], [0.0000, -2.8734, 8.1764]], "species": ["Dy", "Dy", "Dy", "Dy", "Mg", "Ag", "Ru", "Ru"], "frac_coords": [[0.1229, 0.1229, 0.1229], [0.3735, 0.3735, 0.3735], [0.6265, 0.6265, 0.6265], [0.8771, 0.8771, 0.8771], [0.5000, 0.5000, 0.5000], [0.0000, 0.0000, 0.0000], [0.2474, 0.2474, 0.2474], [0.7526, 0.7526, 0.7526]]}

***

4.
{"formula": "Sc2Zn15Tc2", "functional": "GGA-PBE", "state": "optimized geometry", "dft_energy_ev_per_cell": -54.76, "formation_enthalpy_0k_kj_per_mol_fu": -217, "sg": "No. 166", "lattice_angstrom": [[4.4458, 2.5668, 4.2945], [-4.4458, 2.5668, 4.2945], [0.0000, -5.1336, 4.2945]], "species": ["Sc", "Sc", "Zn", "Zn", "Zn", "Zn", "Zn", "Zn", "Zn", "Zn", "Zn", "Zn", "Zn", "Zn", "Zn", "Zn", "Zn", "Tc", "Tc"], "frac_coords": [[0.1656, 0.1656, 0.1656], [0.8344, 0.8344, 0.8344], [0.0000, 0.5000, 0.5000], [0.1484, 0.1484, 0.6525], [0.1484, 0.6525, 0.1484], [0.2048, 0.5000, 0.7952], [0.2048, 0.7952, 0.5000], [0.3475, 0.8516, 0.8516], [0.5000, 0.0000, 0.5000], [0.5000, 0.2048, 0.7952], [0.5000, 0.5000, 0.0000], [0.5000, 0.7952, 0.2048], [0.6525, 0.1484, 0.1484], [0.7952, 0.2048, 0.5000], [0.7952, 0.5000, 0.2048], [0.8516, 0.3475, 0.8516], [0.8516, 0.8516, 0.3475], [0.4070, 0.4070, 0.4070], [0.5930, 0.5930, 0.5930]]}

***

5.
{"formula": "Dy2PuH", "functional": "GGA-PBE", "state": "optimized geometry", "dft_energy_ev_per_cell": -26.21, "polymorph_energy_mev_per_atom": 260, "sg": "No. 123", "lattice_angstrom": [[3.2480, 0.0000, 0.0000], [0.0000, 3.2480, 0.0000], [0.0000, 0.0000, 8.4299]], "species": ["Dy", "Dy", "Pu", "H"], "frac_coords": [[0.0000, 0.0000, 0.1952], [0.0000, 0.0000, 0.8048], [0.5000, 0.5000, 0.5000], [0.5000, 0.5000, 0.0000]]}

***

6.
{"formula": "SnRh4Se8", "functional": "GGA-PBE", "state": "optimized geometry", "dft_energy_ev_per_cell": -66.74, "raw_formation_energy_ev_per_fu": -5.5, "sg": "No. 216", "lattice_angstrom": [[0.0000, 5.3795, 5.3795], [5.3795, 0.0000, 5.3795], [5.3795, 5.3795, 0.0000]], "species": ["Sn", "Rh", "Rh", "Rh", "Rh", "Se", "Se", "Se", "Se", "Se", "Se", "Se", "Se"], "frac_coords": [[0.0000, 0.0000, 0.0000], [0.1397, 0.6201, 0.6201], [0.6201, 0.1397, 0.6201], [0.6201, 0.6201, 0.1397], [0.6201, 0.6201, 0.6201], [0.3915, 0.3915, 0.3915], [0.3915, 0.3915, 0.8256], [0.3915, 0.8256, 0.3915], [0.4278, 0.8574, 0.8574], [0.8256, 0.3915, 0.3915], [0.8574, 0.4278, 0.8574], [0.8574, 0.8574, 0.4278], [0.8574, 0.8574, 0.8574]]}

***

7.
{"formula": "LaTa2Rh2", "functional": "GGA-PBE", "state": "optimized geometry", "dft_energy_ev_per_cell": -88.97, "polymorph_energy_mev_per_atom": 185, "formation_enthalpy_0k_kj_per_mol_fu": -111, "sg": "No. 127", "lattice_angstrom": [[7.9971, 0.0000, 0.0000], [0.0000, 7.9971, 0.0000], [0.0000, 0.0000, 2.9244]], "species": ["La", "La", "Ta", "Ta", "Ta", "Ta", "Rh", "Rh", "Rh", "Rh"], "frac_coords": [[0.0000, 0.0000, 0.0000], [0.5000, 0.5000, 0.0000], [0.1538, 0.3462, 0.0000], [0.3462, 0.8462, 0.0000], [0.6538, 0.1538, 0.0000], [0.8462, 0.6538, 0.0000], [0.1362, 0.6362, 0.5000], [0.3638, 0.1362, 0.5000], [0.6362, 0.8638, 0.5000], [0.8638, 0.3638, 0.5000]]}

***

8.
{"formula": "Li2MoSe", "functional": "GGA-PBE", "state": "optimized geometry", "dft_energy_ev_per_cell": -18.21, "raw_formation_energy_ev_per_fu": -0.1, "sg": "No. 160", "lattice_angstrom": [[1.5845, 0.9148, 8.6427], [-1.5845, 0.9148, 8.6427], [0.0000, -1.8297, 8.6427]], "species": ["Li", "Li", "Mo", "Se"], "frac_coords": [[0.0000, 0.0000, 0.0000], [0.2335, 0.2335, 0.2335], [0.4788, 0.4788, 0.4788], [0.7468, 0.7468, 0.7468]]}

***

9.
{"formula": "LiTmThPd", "functional": "GGA-PBE", "state": "optimized geometry", "dft_energy_ev_per_cell": -20.09, "formation_enthalpy_0k_kj_per_mol_fu": -105, "sg": "No. 216", "lattice_angstrom": [[0.0000, 3.5900, 3.5900], [3.5900, 0.0000, 3.5900], [3.5900, 3.5900, 0.0000]], "species": ["Li", "Tm", "Th", "Pd"], "frac_coords": [[0.0000, 0.0000, 0.0000], [0.2500, 0.2500, 0.2500], [0.7500, 0.7500, 0.7500], [0.5000, 0.5000, 0.5000]]}

***

10.
{"formula": "Mg2SiP", "functional": "GGA-PBE", "state": "optimized geometry", "dft_energy_ev_per_cell": -14.08, "polymorph_energy_mev_per_atom": 27, "raw_formation_energy_ev_per_fu": -0.1, "sg": "No. 65", "lattice_angstrom": [[2.8667, -3.7255, 0.0000], [2.8667, 3.7255, 0.0000], [0.0000, 0.0000, 3.2999]], "species": ["Mg", "Mg", "Si", "P"], "frac_coords": [[0.0000, 0.5000, 0.0000], [0.5000, 0.0000, 0.0000], [0.0000, 0.0000, 0.5000], [0.5000, 0.5000, 0.5000]]}

***

11.
{"formula": "CaTcPb2", "functional": "GGA-PBE", "state": "optimized geometry", "dft_energy_ev_per_cell": -18.88, "polymorph_energy_mev_per_atom": 103, "formation_enthalpy_0k_kj_per_mol_fu": 87, "sg": "No. 71", "lattice_angstrom": [[-1.7749, 2.8619, 4.9406], [1.7749, -2.8619, 4.9406], [1.7749, 2.8619, -4.9406]], "species": ["Ca", "Tc", "Pb", "Pb"], "frac_coords": [[0.0000, 0.0000, 0.0000], [0.5000, 0.5000, 0.0000], [0.2800, 0.7800, 0.5000], [0.7200, 0.2200, 0.5000]]}

***

12.
{"formula": "SrCa2Re", "functional": "GGA-PBE", "state": "optimized geometry", "dft_energy_ev_per_cell": -25.00, "polymorph_energy_mev_per_atom": 727, "formation_enthalpy_0k_kj_per_mol_fu": 543, "sg": "No. 141", "lattice_angstrom": [[-3.9669, 3.9669, 5.9562], [3.9669, -3.9669, 5.9562], [3.9669, 3.9669, -5.9562]], "species": ["Sr", "Sr", "Ca", "Ca", "Ca", "Ca", "Re", "Re"], "frac_coords": [[0.3750, 0.6250, 0.7500], [0.6250, 0.3750, 0.2500], [0.0000, 0.0000, 0.0000], [0.0000, 0.0000, 0.5000], [0.0000, 0.5000, 0.0000], [0.5000, 0.0000, 0.5000], [0.1250, 0.8750, 0.2500], [0.8750, 0.1250, 0.7500]]}

***

13.
{"formula": "Pm2RuF", "functional": "GGA-PBE", "state": "optimized geometry", "dft_energy_ev_per_cell": -25.42, "polymorph_energy_mev_per_atom": 40, "raw_formation_energy_ev_per_fu": -4.8, "sg": "No. 123", "lattice_angstrom": [[3.3330, 0.0000, 0.0000], [0.0000, 3.3330, 0.0000], [0.0000, 0.0000, 7.4522]], "species": ["Pm", "Pm", "Ru", "F"], "frac_coords": [[0.0000, 0.0000, 0.2364], [0.0000, 0.0000, 0.7636], [0.5000, 0.5000, 0.0000], [0.5000, 0.5000, 0.5000]]}

***

14.
{"formula": "V3SbC", "functional": "GGA-PBE", "state": "optimized geometry", "dft_energy_ev_per_cell": -83.35, "raw_formation_energy_ev_per_fu": -1.0, "sg": "No. 12", "lattice_angstrom": [[4.6777, -2.0760, 0.0000], [4.6777, 2.0760, 0.0000], [-3.8648, 0.0000, 7.0079]], "species": ["V", "V", "V", "V", "V", "V", "Sb", "Sb", "C", "C"], "frac_coords": [[0.1307, 0.1307, 0.1858], [0.1349, 0.1349, 0.6853], [0.3607, 0.3607, 0.0502], [0.6393, 0.6393, 0.9498], [0.8651, 0.8651, 0.3147], [0.8693, 0.8693, 0.8142], [0.3888, 0.3888, 0.5840], [0.6112, 0.6112, 0.4160], [0.1171, 0.1171, 0.9290], [0.8829, 0.8829, 0.0710]]}

***

15.
{"formula": "FeAs2SeCl", "functional": "GGA-PBE", "state": "optimized geometry", "dft_energy_ev_per_cell": -21.40, "polymorph_energy_mev_per_atom": 0, "raw_formation_energy_ev_per_fu": 1.7, "sg": "No. 123", "lattice_angstrom": [[4.7153, 0.0000, 0.0000], [0.0000, 4.7153, 0.0000], [0.0000, 0.0000, 4.6413]], "species": ["Fe", "As", "As", "Se", "Cl"], "frac_coords": [[0.0000, 0.0000, 0.0000], [0.0000, 0.5000, 0.0000], [0.5000, 0.0000, 0.0000], [0.0000, 0.0000, 0.5000], [0.5000, 0.5000, 0.5000]]}

***

16.
{"formula": "Dy4Zn2Au", "functional": "GGA-PBE", "state": "optimized geometry", "dft_energy_ev_per_cell": -26.55, "formation_enthalpy_0k_kj_per_mol_fu": -223, "sg": "No. 166", "lattice_angstrom": [[2.5105, 1.4495, 8.1258], [-2.5105, 1.4495, 8.1258], [0.0000, -2.8989, 8.1258]], "species": ["Dy", "Dy", "Dy", "Dy", "Zn", "Zn", "Au"], "frac_coords": [[0.1221, 0.1221, 0.1221], [0.3733, 0.3733, 0.3733], [0.6267, 0.6267, 0.6267], [0.8779, 0.8779, 0.8779], [0.2520, 0.2520, 0.2520], [0.7480, 0.7480, 0.7480], [0.5000, 0.5000, 0.5000]]}

***

17.
{"formula": "Na2ErPbO4", "functional": "GGA-PBE", "state": "optimized geometry", "dft_energy_ev_per_cell": -46.55, "raw_formation_energy_ev_per_fu": -15.8, "sg": "No. 10", "lattice_angstrom": [[5.9713, 0.0000, 0.0000], [0.0000, 3.4502, 0.0000], [-1.9918, 0.0000, 5.6518]], "species": ["Na", "Na", "Er", "Pb", "O", "O", "O", "O"], "frac_coords": [[0.0000, 0.0000, 0.0000], [0.5000, 0.5000, 0.0000], [0.0000, 0.5000, 0.5000], [0.5000, 0.0000, 0.5000], [0.2232, 0.0000, 0.7147], [0.2453, 0.5000, 0.2762], [0.7547, 0.5000, 0.7238], [0.7768, 0.0000, 0.2853]]}

***

18.
{"formula": "ScP2Ir", "functional": "GGA-PBE", "state": "optimized geometry", "dft_energy_ev_per_cell": -56.11, "polymorph_energy_mev_per_atom": 361, "formation_enthalpy_0k_kj_per_mol_fu": -197, "sg": "No. 122", "lattice_angstrom": [[-2.6342, 2.6342, 6.1376], [2.6342, -2.6342, 6.1376], [2.6342, 2.6342, -6.1376]], "species": ["Sc", "Sc", "P", "P", "P", "P", "Ir", "Ir"], "frac_coords": [[0.0000, 0.0000, 0.0000], [0.7500, 0.2500, 0.5000], [0.1770, 0.6250, 0.0520], [0.3750, 0.4270, 0.5520], [0.5730, 0.1250, 0.9480], [0.8750, 0.8230, 0.4480], [0.2500, 0.7500, 0.5000], [0.5000, 0.5000, 0.0000]]}

***

19.
{"formula": "Dy3ErAl8", "functional": "GGA-PBE", "state": "optimized geometry", "dft_energy_ev_per_cell": -54.40, "polymorph_energy_mev_per_atom": 9, "formation_enthalpy_0k_kj_per_mol_fu": -587, "sg": "No. 156", "lattice_angstrom": [[5.5433, 0.0000, 0.0000], [-2.7716, 4.8006, 0.0000], [0.0000, 0.0000, 9.0995]], "species": ["Dy", "Dy", "Dy", "Er", "Al", "Al", "Al", "Al", "Al", "Al", "Al", "Al"], "frac_coords": [[0.0000, 0.0000, 0.0000], [0.0000, 0.0000, 0.3646], [0.3333, 0.6667, 0.8641], [0.3333, 0.6667, 0.4996], [0.0091, 0.5046, 0.1825], [0.3242, 0.1621, 0.6813], [0.4954, 0.5046, 0.1825], [0.4954, 0.9909, 0.1825], [0.6667, 0.3333, 0.4323], [0.6667, 0.3333, 0.9316], [0.8379, 0.1621, 0.6813], [0.8379, 0.6758, 0.6813]]}